Compound: DyTm2Ga2
Source: Alexandria
Functional: PBE
Structure: relaxed

Total DFT energy (no corrections) (eV/atom): -4.27
Relative energy among the computed polymorphs (meV per atom): 148
SG: P2_1/m, No. 11
V (Å³ per atom): 26.360
ΔE_f (eV per atom): -0.35

a b c (Å): 3.9777 5.6607 11.8238
angles (deg): 81.94 90.00 90.00
Fractional positions:
Tm: 0.7500 0.7604 0.4444
Tm: 0.2500 0.9142 0.8712
Tm: 0.7500 0.0858 0.1288
Tm: 0.2500 0.2396 0.5556
Ga: 0.7500 0.2849 0.3642
Ga: 0.2500 0.3582 0.9802
Ga: 0.2500 0.7151 0.6358
Ga: 0.7500 0.6418 0.0198
Dy: 0.2500 0.5473 0.2125
Dy: 0.7500 0.4527 0.7875


Compound: SmGeP
Source: Alexandria
Functional: PBE
Structure: relaxed

Total DFT energy (no corrections) (eV/atom): -5.54
SG: I4/mmm, No. 139
V (Å³ per atom): 27.444
ΔE_f (eV per atom): -0.62

a b c (Å): 3.9965 3.9965 10.6897
angles (deg): 100.77 100.77 90.00
Fractional positions:
Ge: 0.9255 0.9255 0.8510
Ge: 0.0745 0.0745 0.1490
P: 0.1894 0.1894 0.3789
P: 0.8106 0.8106 0.6211
Sm: 0.6743 0.6743 0.3486
Sm: 0.3257 0.3257 0.6514


Compound: La3TlHg
Source: Alexandria
Functional: PBE
Structure: relaxed

Total DFT energy (no corrections) (eV/atom): -3.36
Relative energy among the computed polymorphs (meV per atom): 486
SG: Pm-3m, No. 221
V (Å³ per atom): 41.595
ΔE_f (eV per atom): 0.13

a b c (Å): 5.9248 5.9248 5.9248
angles (deg): 90.00 90.00 90.00
Fractional positions:
Tl: 0.5000 0.5000 0.5000
Hg: 0.0000 0.0000 0.0000
La: 0.5000 0.0000 0.0000
La: 0.0000 0.5000 0.0000
La: 0.0000 0.0000 0.5000


Compound: CoP2Se
Source: Alexandria
Functional: PBE
Structure: relaxed

Total DFT energy (no corrections) (eV/atom): -5.29
SG: Imm2, No. 44
Uncorrected formation energy (eV per atom): 0.064
V (Å³ per atom): 17.915

a b c (Å): 6.8062 6.8062 6.8062
angles (deg): 151.26 151.72 40.75
Fractional positions:
P: 0.1189 0.1189 0.0000
P: 0.7355 0.2355 0.5000
Co: 0.2539 0.7539 0.5000
Se: 0.3917 0.3917 0.0000